# SrLi2

A PBEsol-optimized structure of SrLi2 (meta-GGA SCAN, Alexandria).

Geometry as extended XYZ:
```
3
Lattice="-1.247 -2.481 2.838 -0.474 -2.862 -2.711 6.392 0.911 0.827" Properties=species:S:1:pos:R:3 pbc="T T T"
Sr -0.861 -2.671 0.064
Li 2.481 -3.735 0.602
Li 2.189 -0.697 0.353
```

Calculated values
space-group type: I4/mmm, No. 139
formation enthalpy at 0 K: 0.03 eV per atom
crystal system: tetragonal

---

# SrLi2

A PBEsol-optimized structure of SrLi2 (meta-GGA SCAN, Alexandria).

Geometry as extended XYZ:
```
3
Lattice="-0.362 3.903 -0.549 -2.915 -2.435 -1.115 -3.014 0.634 6.497" Properties=species:S:1:pos:R:3 pbc="T T T"
Sr 0.000 0.000 0.000
Li -3.203 -0.082 1.528
Li -3.089 2.185 3.305
```

Calculated values
space-group type: P-3m1, No. 164
formation enthalpy at 0 K: 0.15 eV per atom
crystal system: trigonal